Record 1
VASP calculation (PBE) on an optimized crystal structure of Tm4PdS3.

a = 7.9408 Å, b = 11.0679 Å, c = 3.8194 Å
α = 90.00°, β = 90.00°, γ = 90.00°
Space group Cmmm (No. 65)
Unique sites:
Tm1 0.0000 0.2468 0.0000
Tm2 0.2482 0.0000 0.5000
Pd1 0.0000 0.5000 0.0000
S1 0.0000 0.0000 0.0000
S2 0.2500 0.2500 0.5000

## Properties
As for the magnetic moment: 0.0 μB/cell. Its uncorrected formation energy is -1.627 eV/atom. Its calculated total energy is -48.5 eV/f.u.

***

Record 2
VASP calculation (PBE) on an optimized crystal structure of TmPdS.

a = 9.4760 Å, b = 3.8394 Å, c = 6.6678 Å
α = 90.00°, β = 104.12°, γ = 90.00°
Space group C2/m (No. 12)
Unique sites:
Tm1 0.1059 0.0000 0.2646
Pd1 0.1228 0.5000 0.9271
S1 0.1761 0.0000 0.6861

## Properties
As for the magnetic moment: 0.0 μB/cell. Its uncorrected formation energy is -1.333 eV/atom. Its calculated total energy is -17.8 eV/f.u.

***

Record 3
VASP calculation (PBE) on an optimized crystal structure of Tm6PdS5.

a = 6.7261 Å, b = 11.6571 Å, c = 6.7091 Å
α = 90.00°, β = 109.66°, γ = 90.00°
Space group C2/m (No. 12)
Unique sites:
Tm1 0.2472 0.0000 0.2535
Tm2 0.2495 0.1694 0.7510
Pd1 0.0000 0.5000 0.0000
S1 0.0000 0.0000 0.5000
S2 0.0000 0.1652 0.0000
S3 0.0000 0.3307 0.5000

## Properties
As for the magnetic moment: 0.0 μB/cell. Its uncorrected formation energy is -1.748 eV/atom. Its calculated total energy is -73.6 eV/f.u.

***

Record 4
VASP calculation (PBE) on an optimized crystal structure of Tm6Pd2S.

a = 6.3769 Å, b = 7.1465 Å, c = 11.5353 Å
α = 90.00°, β = 121.20°, γ = 90.00°
Space group P2_1/c (No. 14)
Unique sites:
Tm1 0.0940 0.1897 0.4345
Tm2 0.2603 0.6692 0.4320
Tm3 0.3920 0.0356 0.2440
Pd1 0.1797 0.1134 0.7407
S1 0.5000 0.0000 0.5000

## Properties
As for the magnetic moment: 0.0 μB/cell. Its uncorrected formation energy is -0.847 eV/atom. Its calculated total energy is -49.0 eV/f.u.

***

Record 5
VASP calculation (PBE) on an optimized crystal structure of Tm6PdS4.

a = 3.8030 Å, b = 12.6687 Å, c = 19.8539 Å
α = 90.00°, β = 90.00°, γ = 90.00°
Space group Cmcm (No. 63)
Unique sites:
Tm1 0.0000 0.0000 0.0000
Tm2 0.0000 0.1704 0.2500
Tm3 0.0000 0.2724 0.5896
Tm4 0.0000 0.4448 0.1649
Pd1 0.0000 0.1647 0.7500
S1 0.0000 0.0863 0.1228
S2 0.0000 0.3597 0.0376

## Properties
As for the magnetic moment: 0.0 μB/cell. Its uncorrected formation energy is -1.609 eV/atom. Its calculated total energy is -66.2 eV/f.u.

***

Record 6
VASP calculation (PBE) on an optimized crystal structure of TmU2PdS6.

a = 5.9427 Å, b = 5.9427 Å, c = 6.7097 Å
α = 90.00°, β = 90.00°, γ = 90.00°
Space group P4mm (No. 99)
Unique sites:
Tm1 0.0000 0.0000 0.0000
U1 0.0000 0.5000 0.4518
Pd1 0.5000 0.5000 0.9642
S1 0.0000 0.0000 0.6090
S2 0.2587 0.2587 0.1997
S3 0.5000 0.5000 0.6100

## Properties
As for the magnetic moment: 3.8 μB/cell. Its uncorrected formation energy is -0.949 eV/atom. Its calculated total energy is -66.5 eV/f.u.

***

Record 7
VASP calculation (PBE) on an optimized crystal structure of UPd5S4.

a = 7.3998 Å, b = 8.9422 Å, c = 5.4716 Å
α = 90.00°, β = 90.00°, γ = 90.00°
Space group Pmmn (No. 59, origin choice 2)
Unique sites:
U1 0.2500 0.2500 0.1636
Pd1 0.0588 0.0397 0.7408
Pd2 0.2500 0.7500 0.7827
S1 0.0052 0.2500 0.4914
S2 0.2500 0.5390 0.0805

## Properties
As for the magnetic moment: 0.8 μB/cell. Its uncorrected formation energy is -0.431 eV/atom. Its calculated total energy is -58.1 eV/f.u.

***

Record 8
VASP calculation (PBE) on an optimized crystal structure of U2PdS5.

a = 7.5351 Å, b = 11.2860 Å, c = 3.6844 Å
α = 90.00°, β = 90.00°, γ = 90.00°
Space group Pbam (No. 55)
Unique sites:
U1 0.0019 0.1827 0.0000
Pd1 0.0000 0.5000 0.5000
S1 0.0000 0.0000 0.5000
S2 0.1479 0.4067 0.0000
S3 0.2124 0.7041 0.5000

## Properties
As for the magnetic moment: 8.2 μB/cell. Its uncorrected formation energy is -1.054 eV/atom. Its calculated total energy is -56.8 eV/f.u.